The following is a PBEsol calculation of a relaxed structure of ZrBeS3, from the Alexandria database.

Geometry as POSCAR:
```
ZrBeS3
1.0
-4.376 -0.832 -2.030
-1.394 -2.442 4.007
-1.694 4.160 1.946
S Be Zr
3 1 1
direct
0.000 0.000 0.500 S
0.000 0.500 0.000 S
0.500 0.000 0.000 S
0.500 0.500 0.500 Be
0.000 0.000 0.000 Zr
```

E in eV per atom: -5.26
Formation energy without anion corrections in eV per formula unit: -0.07
Space group: No. 221

***

The following is a PBEsol calculation of a relaxed structure of BeSb3, from the Alexandria database.

Geometry as POSCAR:
```
BeSb3
1.0
-0.268 2.770 -2.636
2.007 -3.177 -0.755
-6.034 -3.166 -2.712
Sb Be
3 1
direct
0.333 0.667 0.203 Sb
0.333 0.667 0.797 Sb
0.000 0.000 0.500 Sb
0.000 0.000 0.000 Be
```

E in eV per atom: -4.11
Polymorph energy (0 for the lowest one) in eV/atom: 0.0000
Formation energy without anion corrections in eV per formula unit: 1.22
Space group: No. 187

***

What is the formation energy without anion corrections in the second record? 1.22 eV per formula unit